A plane-wave DFT calculation with GGA-PBE was carried out for a geometry-optimized KHg2BiBr8 structure.

Geometry as POSCAR:
```
KHg2BiBr8
1.0
6.9718 0.0000 0.0000
-1.0379 7.8803 0.0000
-0.2072 -3.4729 9.0035
K Hg Bi Br
1 2 1 8
direct
0.0000 0.0000 0.0000 K
0.4435 0.2526 0.8014 Hg
0.5565 0.7474 0.1986 Hg
0.0000 0.0000 0.5000 Bi
0.1619 0.7915 0.2277 Br
0.2236 0.8678 0.6804 Br
0.3160 0.3036 0.5652 Br
0.4122 0.2973 0.0749 Br
0.5878 0.7027 0.9251 Br
0.6840 0.6964 0.4348 Br
0.7764 0.1322 0.3196 Br
0.8381 0.2085 0.7723 Br
```

Results
Uncorrected formation energy in kcal/mol of atoms: -17.310
SG: P-1, No. 2
M_tot in μB per formula unit: 0.0
Theoretical density in g/cm³: 4.3

A plane-wave DFT calculation with GGA-PBE was carried out for a geometry-optimized NaV2S3 structure.

Geometry as POSCAR:
```
NaV2S3
1.0
1.6588 -6.9689 0.0000
1.6588 6.9689 0.0000
0.0000 0.0000 8.9920
Na V S
2 4 6
direct
0.2455 0.7545 0.7500 Na
0.7545 0.2455 0.2500 Na
0.0000 0.0000 0.0000 V
0.0000 0.0000 0.5000 V
0.4724 0.5276 0.2500 V
0.5276 0.4724 0.7500 V
0.0856 0.9144 0.2500 S
0.3767 0.6233 0.0510 S
0.3767 0.6233 0.4490 S
0.6233 0.3767 0.5510 S
0.6233 0.3767 0.9490 S
0.9144 0.0856 0.7500 S
```

Results
Uncorrected formation energy in kcal/mol of atoms: -22.526
SG: Cmcm, No. 63
M_tot in μB per formula unit: 0.0
Theoretical density in g/cm³: 3.5

A plane-wave DFT calculation with GGA-PBE was carried out for a geometry-optimized Sc2Fe2Ge2P structure.

Geometry as POSCAR:
```
Sc2Fe2Ge2P
1.0
-2.0708 2.0708 6.9742
2.0708 -2.0708 6.9742
2.0708 2.0708 -6.9742
Sc Fe Ge P
2 2 2 1
direct
0.1766 0.1766 0.0000 Sc
0.8234 0.8234 0.0000 Sc
0.0000 0.5000 0.5000 Fe
0.5000 0.0000 0.5000 Fe
0.3773 0.3773 0.0000 Ge
0.6227 0.6227 0.0000 Ge
0.0000 0.0000 0.0000 P
```

Results
Formation energy from the elements in eV per atom: -0.388
SG: I4/mmm, No. 139
M_tot in μB per formula unit: 3.5
Theoretical density in g/cm³: 5.2

A plane-wave DFT calculation with GGA-PBE was carried out for a geometry-optimized Sm7Mg2Ru2 structure.

Geometry as POSCAR:
```
Sm7Mg2Ru2
1.0
4.0484 -5.6322 0.0000
4.0484 5.6322 0.0000
0.0000 0.0000 7.4027
Sm Mg Ru
7 2 2
direct
0.0000 0.0000 0.0000 Sm
0.0000 0.5000 0.2473 Sm
0.0000 0.5000 0.7527 Sm
0.5000 0.0000 0.2473 Sm
0.5000 0.0000 0.7527 Sm
0.5000 0.5000 0.2345 Sm
0.5000 0.5000 0.7655 Sm
0.1727 0.1727 0.5000 Mg
0.8273 0.8273 0.5000 Mg
0.2935 0.7065 0.0000 Ru
0.7065 0.2935 0.0000 Ru
```

Results
Formation energy from the elements in eV per atom: -0.047
SG: Cmmm, No. 65
M_tot in μB per formula unit: 0.0
Theoretical density in g/cm³: 6.4

A plane-wave DFT calculation with GGA-PBE was carried out for a geometry-optimized Tb3MgHg2 structure.

Geometry as POSCAR:
```
Tb3MgHg2
1.0
2.6175 -8.0245 0.0000
2.6175 8.0245 0.0000
0.0000 0.0000 3.7614
Tb Mg Hg
3 1 2
direct
0.0000 0.0000 0.0000 Tb
0.3294 0.6706 0.0000 Tb
0.6706 0.3294 0.0000 Tb
0.5000 0.5000 0.5000 Mg
0.1548 0.8452 0.5000 Hg
0.8452 0.1548 0.5000 Hg
```

Results
Polymorph energy (0 for the lowest one) in meV per atom: 0
Formation energy from the elements in eV per atom: -0.362
SG: Cmmm, No. 65
M_tot in μB per formula unit: 0.0
Theoretical density in g/cm³: 9.5

no.,uncorrected energy (eV/atom)
1,-2.33
2,-6.30
3,-6.71
4,-5.03
5,-3.04